HfPOsCl2: relaxed, PBE.

```
data_HfPOsCl2
_symmetry_space_group_name_H-M 'P 4/m m m'
_symmetry_Int_Tables_number 123
_symmetry_space_group_name_Hall '-P 4 2'
_cell_length_a 4.6913
_cell_length_b 4.6913
_cell_length_c 4.6543
_cell_angle_alpha 90.00
_cell_angle_beta 90.00
_cell_angle_gamma 90.00
loop_
_atom_site_label
_atom_site_type_symbol
_atom_site_fract_x
_atom_site_fract_y
_atom_site_fract_z
Hf1 Hf 0.0000 0.0000 0.0000
P1 P 0.5000 0.5000 0.0000
Os1 Os 0.5000 0.5000 0.5000
Cl1 Cl 0.0000 0.5000 0.5000
```

## Properties
Its energy is -5.354 eV/atom. For the formation energy without anion corrections, the calculation gives 0.703 eV per atom. Its total magnetic moment is 0.0 μB/cell.